<1>
First-principles (meta-GGA SCAN) data for Y2Sc at its PBEsol-relaxed geometry, as listed in the Alexandria database.

Summary:
* space group: No. 8
* M_tot: 0.015 μB/atom

Unit cell a=3.488 b=6.428 c=8.090 alpha=102.25 beta=90.00 gamma=105.74
Site moments in Bohr magnetons follow the coordinates.
Sites, in units of the cell vectors:
Y1 0.388 0.777 0.275  0.14
Y2 0.060 0.119 0.605  -0.10
Y3 0.336 0.672 0.671  0.16
Y4 0.717 0.434 0.950  -0.07
Sc1 0.001 0.001 0.006  0.06
Sc2 0.665 0.330 0.327  -0.23

---

<2>
First-principles (meta-GGA SCAN) data for Y2Sc at its PBEsol-relaxed geometry, as listed in the Alexandria database.

Summary:
* space group: No. 191
* M_tot: 0.003 μB/atom

Unit cell a=3.340 b=5.385 c=5.385 alpha=120.00 beta=90.00 gamma=90.00
Sites, in units of the cell vectors:
Sc1 0.500 0.000 0.000
Y1 0.000 0.333 0.667
Y2 0.000 0.667 0.333

---

<3>
First-principles (meta-GGA SCAN) data for Y2Sc at its PBEsol-relaxed geometry, as listed in the Alexandria database.

Summary:
* space group: No. 164
* M_tot: 0.000 μB/atom

Unit cell a=3.418 b=3.418 c=8.302 alpha=90.00 beta=90.00 gamma=120.00
Sites, in units of the cell vectors:
Y1 0.667 0.333 0.677
Y2 0.333 0.667 0.323
Sc1 0.000 0.000 0.000

---

It is <1> that is the most stable of them.

---

<1>
First-principles (meta-GGA SCAN) data for Y3Sc at its PBEsol-relaxed geometry, as listed in the Alexandria database.

Summary:
* space group: No. 63
* M_tot: 0.526 μB/atom

Unit cell a=5.455 b=7.010 c=7.015 alpha=60.02 beta=90.00 gamma=90.00
Site moments in Bohr magnetons follow the coordinates.
Sites, in units of the cell vectors:
Sc1 0.750 0.581 0.837  0.40
Sc2 0.250 0.419 0.163  0.40
Y1 0.750 0.083 0.835  0.28
Y2 0.750 0.087 0.330  0.33
Y3 0.750 0.583 0.330  0.33
Y4 0.250 0.917 0.165  0.28
Y5 0.250 0.913 0.670  0.33
Y6 0.250 0.417 0.670  0.33

---

<2>
First-principles (meta-GGA SCAN) data for Y3Sc at its PBEsol-relaxed geometry, as listed in the Alexandria database.

Summary:
* space group: No. 12
* M_tot: 0.000 μB/atom

Unit cell a=3.445 b=5.938 c=5.934 alpha=99.86 beta=90.00 gamma=106.86
Sites, in units of the cell vectors:
Y1 0.746 0.492 0.246
Y2 0.500 0.000 0.500
Y3 0.254 0.508 0.754
Sc1 0.000 0.000 0.000

---

It is <1> that is the most stable of them.

---

<1>
First-principles (meta-GGA SCAN) data for Y3Sc at its PBEsol-relaxed geometry, as listed in the Alexandria database.

Summary:
* space group: No. 65
* M_tot: 0.000 μB/atom

Unit cell a=3.448 b=5.928 c=5.928 alpha=109.33 beta=90.00 gamma=90.00
Sites, in units of the cell vectors:
Y1 0.500 0.000 0.500
Y2 0.500 0.500 0.000
Y3 0.000 0.500 0.500
Sc1 0.000 0.000 0.000

---

<2>
First-principles (meta-GGA SCAN) data for Y3Sc at its PBEsol-relaxed geometry, as listed in the Alexandria database.

Summary:
* space group: No. 225
* M_tot: 0.003 μB/atom

Unit cell a=5.474 b=5.474 c=5.474 alpha=60.00 beta=60.00 gamma=60.00
Sites, in units of the cell vectors:
Sc1 0.000 0.000 0.000
Y1 0.750 0.750 0.750
Y2 0.500 0.500 0.500
Y3 0.250 0.250 0.250

---

It is <1> that is the most stable of them.

---

<1>
First-principles (meta-GGA SCAN) data for YSc at its PBEsol-relaxed geometry, as listed in the Alexandria database.

Summary:
* space group: No. 141
* M_tot: 0.000 μB/atom

Unit cell a=4.756 b=4.756 c=5.815 alpha=114.14 beta=114.14 gamma=90.00
Sites, in units of the cell vectors:
Y1 0.750 0.250 0.500
Y2 0.500 0.500 0.000
Sc1 0.000 0.000 0.000
Sc2 0.250 0.750 0.500

---

<2>
First-principles (meta-GGA SCAN) data for YSc at its PBEsol-relaxed geometry, as listed in the Alexandria database.

Summary:
* space group: No. 225
* M_tot: 0.956 μB/atom

Unit cell a=4.338 b=4.338 c=4.338 alpha=60.00 beta=60.00 gamma=60.00
Site moments in Bohr magnetons follow the coordinates.
Sites, in units of the cell vectors:
Y1 0.500 0.500 0.500  0.70
Sc1 0.000 0.000 0.000  0.75

---

It is <1> that is the most stable of them.

---

<1>
First-principles (meta-GGA SCAN) data for YSc at its PBEsol-relaxed geometry, as listed in the Alexandria database.

Summary:
* space group: No. 12
* M_tot: 0.000 μB/atom

Unit cell a=3.376 b=5.783 c=5.835 alpha=100.16 beta=106.82 gamma=90.00
Sites, in units of the cell vectors:
Y1 0.879 0.631 0.757
Y2 0.121 0.369 0.243
Sc1 0.629 0.878 0.259
Sc2 0.371 0.122 0.741

---

<2>
First-principles (meta-GGA SCAN) data for YSc at its PBEsol-relaxed geometry, as listed in the Alexandria database.

Summary:
* space group: No. 62
* M_tot: 0.486 μB/atom

Unit cell a=5.320 b=5.937 c=6.869 alpha=90.00 beta=90.00 gamma=90.00
Site moments in Bohr magnetons follow the coordinates.
Sites, in units of the cell vectors:
Sc1 0.750 0.923 0.876  0.30
Sc2 0.250 0.577 0.376  0.30
Sc3 0.750 0.423 0.624  0.30
Sc4 0.250 0.077 0.124  0.30
Y1 0.750 0.910 0.373  0.31
Y2 0.250 0.590 0.873  0.31
Y3 0.750 0.410 0.127  0.31
Y4 0.250 0.090 0.627  0.31

---

<3>
First-principles (meta-GGA SCAN) data for YSc at its PBEsol-relaxed geometry, as listed in the Alexandria database.

Summary:
* space group: No. 166
* M_tot: 0.012 μB/atom

Unit cell a=3.375 b=3.375 c=5.761 alpha=72.97 beta=72.97 gamma=60.00
Sites, in units of the cell vectors:
Y1 0.500 0.500 0.500
Sc1 0.000 0.000 0.000

---

<4>
First-principles (meta-GGA SCAN) data for YSc at its PBEsol-relaxed geometry, as listed in the Alexandria database.

Summary:
* space group: No. 129
* M_tot: 0.086 μB/atom

Unit cell a=3.382 b=3.382 c=9.389 alpha=90.00 beta=90.00 gamma=90.00
Site moments in Bohr magnetons follow the coordinates.
Sites, in units of the cell vectors:
Y1 0.500 0.000 0.636  -0.07
Y2 0.000 0.500 0.364  -0.07
Sc1 0.500 0.000 0.113  0.17
Sc2 0.000 0.500 0.887  0.17

---

It is <2> that is the most stable of them.

---

<1>
First-principles (meta-GGA SCAN) data for YZr2Sc at its PBEsol-relaxed geometry, as listed in the Alexandria database.

Summary:
* space group: No. 166
* M_tot: 0.000 μB/atom

Unit cell a=3.222 b=3.222 c=10.803 alpha=81.42 beta=81.42 gamma=60.00
Sites, in units of the cell vectors:
Sc1 0.500 0.500 0.500
Y1 0.000 0.000 0.000
Zr1 0.247 0.247 0.258
Zr2 0.753 0.753 0.742

---

<2>
First-principles (meta-GGA SCAN) data for YZr2Sc at its PBEsol-relaxed geometry, as listed in the Alexandria database.

Summary:
* space group: No. 38
* M_tot: 0.000 μB/atom

Unit cell a=3.243 b=5.047 c=6.204 alpha=90.00 beta=105.15 gamma=90.00
Sites, in units of the cell vectors:
Y1 0.805 0.500 0.609
Sc1 0.451 0.000 0.902
Zr1 0.175 0.000 0.349
Zr2 0.069 0.500 0.138

---

<3>
First-principles (meta-GGA SCAN) data for YZr2Sc at its PBEsol-relaxed geometry, as listed in the Alexandria database.

Summary:
* space group: No. 119
* M_tot: 0.000 μB/atom

Unit cell a=4.594 b=4.594 c=5.577 alpha=114.32 beta=114.32 gamma=90.00
Sites, in units of the cell vectors:
Sc1 0.500 0.500 0.000
Y1 0.750 0.250 0.500
Zr1 0.000 0.000 0.000
Zr2 0.250 0.750 0.500

---

It is <2> that is the most stable of them.